# 1
This record from Alexandria via LeMat-Bulk describes a relaxed Na2PdCl5 crystal. The functional is PBE.

Unit cell a=7.0901 b=7.0901 c=12.3239 alpha=90.00 beta=90.00 gamma=136.06
Atoms (fractional coordinates):
Na 0.1602 0.8398 0.5784
Na 0.1602 0.8398 0.9216
Na 0.8398 0.1602 0.0784
Na 0.8398 0.1602 0.4216
Pd 0.1813 0.8187 0.2500
Pd 0.8187 0.1813 0.7500
Cl 0.0558 0.9442 0.1166
Cl 0.0558 0.9442 0.3834
Cl 0.3063 0.6937 0.1118
Cl 0.3063 0.6937 0.3882
Cl 0.3088 0.6912 0.7500
Cl 0.6912 0.3088 0.2500
Cl 0.6937 0.3063 0.6118
Cl 0.6937 0.3063 0.8882
Cl 0.9442 0.0558 0.6166
Cl 0.9442 0.0558 0.8834

Calculated values
For the volume, the calculation gives 429.90 Å³ per cell. The electronic total energy is -3.237 eV/atom. As for the uncorrected formation energy: -1.104 eV/atom.



# 2
This record from Alexandria via LeMat-Bulk describes a relaxed CeSiIr crystal. The functional is PBE.

Unit cell a=5.9532 b=5.9532 c=11.3755 alpha=90.00 beta=90.00 gamma=120.00
Atoms (fractional coordinates):
Ce 0.0000 0.0000 0.0000
Ce 0.0000 0.0000 0.3333
Ce 0.0000 0.0000 0.6667
Ce 0.0000 0.5000 0.1667
Ce 0.5000 0.0000 0.5000
Ce 0.5000 0.5000 0.8333
Si 0.2385 0.6193 0.6667
Si 0.3807 0.6193 0.3333
Si 0.3807 0.7615 0.0000
Si 0.6193 0.2385 0.0000
Si 0.6193 0.3807 0.3333
Si 0.7615 0.3807 0.6667
Ir 0.0000 0.5000 0.4766
Ir 0.0000 0.5000 0.8567
Ir 0.5000 0.0000 0.1901
Ir 0.5000 0.0000 0.8099
Ir 0.5000 0.5000 0.1433
Ir 0.5000 0.5000 0.5234

Calculated values
For the volume, the calculation gives 349.14 Å³ per cell. The electronic total energy is -7.346 eV/atom. As for the uncorrected formation energy: -0.607 eV/atom.



# 3
This record from Alexandria via LeMat-Bulk describes a relaxed ZrHS2 crystal. The functional is PBE.

Unit cell a=6.2814 b=6.2814 c=6.2814 alpha=90.00 beta=90.00 gamma=90.00
Atoms (fractional coordinates):
Zr 0.0000 0.0000 0.0000
Zr 0.0000 0.5000 0.5000
Zr 0.5000 0.0000 0.5000
Zr 0.5000 0.5000 0.0000
H 0.0000 0.0000 0.5000
H 0.0000 0.5000 0.0000
H 0.5000 0.0000 0.0000
H 0.5000 0.5000 0.5000
S 0.2500 0.2500 0.2500
S 0.2500 0.2500 0.7500
S 0.2500 0.7500 0.2500
S 0.2500 0.7500 0.7500
S 0.7500 0.2500 0.2500
S 0.7500 0.2500 0.7500
S 0.7500 0.7500 0.2500
S 0.7500 0.7500 0.7500

Calculated values
For the volume, the calculation gives 247.83 Å³ per cell. The electronic total energy is -5.418 eV/atom. The excess energy over the best structure of this formula in the dataset is 0.6030 eV/atom.



# 4
This record from Alexandria via LeMat-Bulk describes a relaxed Tl2SbO4 crystal. The functional is PBE.

Unit cell a=3.9891 b=3.9891 c=14.3902 alpha=90.00 beta=90.00 gamma=90.00
Atoms (fractional coordinates):
Tl 0.0000 0.0000 0.1550
Tl 0.0000 0.0000 0.8450
Tl 0.5000 0.5000 0.3450
Tl 0.5000 0.5000 0.6550
Sb 0.0000 0.0000 0.5000
Sb 0.5000 0.5000 0.0000
O 0.0000 0.0000 0.3603
O 0.0000 0.0000 0.6397
O 0.0000 0.5000 0.0000
O 0.0000 0.5000 0.5000
O 0.5000 0.0000 0.0000
O 0.5000 0.0000 0.5000
O 0.5000 0.5000 0.1397
O 0.5000 0.5000 0.8603

Calculated values
For the volume, the calculation gives 228.99 Å³ per cell. The electronic total energy is -4.987 eV/atom. As for the uncorrected formation energy: -0.889 eV/atom. The excess energy over the best structure of this formula in the dataset is 0.0966 eV/atom.



# 5
This record from Alexandria via LeMat-Bulk describes a relaxed BaBe3Co crystal. The functional is PBE.

Unit cell a=4.3828 b=4.3828 c=4.3828 alpha=90.00 beta=90.00 gamma=90.00
Atoms (fractional coordinates):
Ba 0.0000 0.0000 0.0000
Be 0.0000 0.5000 0.5000
Be 0.5000 0.0000 0.5000
Be 0.5000 0.5000 0.0000
Co 0.5000 0.5000 0.5000

Calculated values
For the volume, the calculation gives 84.19 Å³ per cell. The electronic total energy is -3.717 eV/atom. The excess energy over the best structure of this formula in the dataset is 0.0000 eV/atom. Its formation energy is 1.6 eV/f.u.



# 6
This record from Alexandria via LeMat-Bulk describes a relaxed AlCdRu4 crystal. The functional is PBE.

Unit cell a=5.1471 b=5.1471 c=5.1471 alpha=60.00 beta=60.00 gamma=60.00
Atoms (fractional coordinates):
Al 0.0000 0.0000 0.0000
Cd 0.2500 0.2500 0.2500
Ru 0.1243 0.6252 0.6252
Ru 0.6252 0.1243 0.6252
Ru 0.6252 0.6252 0.1243
Ru 0.6252 0.6252 0.6252

Calculated values
For the volume, the calculation gives 96.42 Å³ per cell. The electronic total energy is -6.596 eV/atom. Its formation energy is 2.2 eV/f.u.



# 7
This record from Alexandria via LeMat-Bulk describes a relaxed TiVRu2 crystal. The functional is PBE.

Unit cell a=2.7543 b=4.5790 c=9.7085 alpha=90.00 beta=90.00 gamma=90.00
Atoms (fractional coordinates):
Ti 0.0000 0.0000 0.0000
Ti 0.5000 0.5000 0.5000
V 0.0000 0.0000 0.5000
V 0.5000 0.5000 0.0000
Ru 0.0000 0.0000 0.2724
Ru 0.0000 0.0000 0.7276
Ru 0.5000 0.5000 0.2276
Ru 0.5000 0.5000 0.7724

Calculated values
For the volume, the calculation gives 122.45 Å³ per cell. The electronic total energy is -8.643 eV/atom. Its formation energy is 1.0 eV/f.u.



# 8
This record from Alexandria via LeMat-Bulk describes a relaxed Ba3Ge5O12 crystal. The functional is PBE.

Unit cell a=11.5292 b=11.5292 c=11.5292 alpha=109.47 beta=109.47 gamma=109.47
Atoms (fractional coordinates):
Ba 0.1250 0.2500 0.3750
Ba 0.1250 0.3750 0.7500
Ba 0.2500 0.3750 0.1250
Ba 0.2500 0.8750 0.6250
Ba 0.3750 0.1250 0.2500
Ba 0.3750 0.7500 0.1250
Ba 0.6250 0.2500 0.8750
Ba 0.6250 0.8750 0.7500
Ba 0.7500 0.1250 0.3750
Ba 0.7500 0.6250 0.8750
Ba 0.8750 0.6250 0.2500
Ba 0.8750 0.7500 0.6250
Ge 0.0000 0.0000 0.0000
Ge 0.0000 0.0000 0.5000
Ge 0.0000 0.5000 0.0000
Ge 0.0000 0.5000 0.5000
Ge 0.1250 0.7500 0.8750
Ge 0.1250 0.8750 0.2500
Ge 0.2500 0.1250 0.8750
Ge 0.2500 0.6250 0.3750
Ge 0.3750 0.2500 0.6250
Ge 0.3750 0.6250 0.7500
Ge 0.5000 0.0000 0.0000
Ge 0.5000 0.0000 0.5000
Ge 0.5000 0.5000 0.0000
Ge 0.5000 0.5000 0.5000
Ge 0.6250 0.3750 0.2500
Ge 0.6250 0.7500 0.3750
Ge 0.7500 0.3750 0.6250
Ge 0.7500 0.8750 0.1250
Ge 0.8750 0.1250 0.7500
Ge 0.8750 0.2500 0.1250
O 0.0006 0.1921 0.1083
O 0.0006 0.3084 0.8923
O 0.0839 0.6921 0.6916
O 0.0839 0.8917 0.3923
O 0.1083 0.0006 0.1921
O 0.1077 0.6083 0.4161
O 0.1083 0.6077 0.9161
O 0.1077 0.9994 0.6916
O 0.1921 0.1083 0.0006
O 0.1916 0.1921 0.5839
O 0.1916 0.4994 0.6077
O 0.1921 0.5839 0.1916
O 0.3079 0.3084 0.9161
O 0.3079 0.4994 0.3917
O 0.3084 0.8923 0.0006
O 0.3084 0.9161 0.3079
O 0.3923 0.0839 0.8917
O 0.3917 0.3079 0.4994
O 0.3917 0.5839 0.8923
O 0.3923 0.8084 0.5006
O 0.4161 0.1077 0.6083
O 0.4161 0.8084 0.8079
O 0.4994 0.3917 0.3079
O 0.4994 0.6077 0.1916
O 0.5006 0.3923 0.8084
O 0.5006 0.6083 0.6921
O 0.5839 0.1916 0.1921
O 0.5839 0.8923 0.3917
O 0.6077 0.1916 0.4994
O 0.6083 0.4161 0.1077
O 0.6083 0.6921 0.5006
O 0.6077 0.9161 0.1083
O 0.6916 0.0839 0.6921
O 0.6916 0.1077 0.9994
O 0.6921 0.5006 0.6083
O 0.6921 0.6916 0.0839
O 0.8079 0.4161 0.8084
O 0.8084 0.5006 0.3923
O 0.8084 0.8079 0.4161
O 0.8079 0.8917 0.9994
O 0.8923 0.0006 0.3084
O 0.8917 0.3923 0.0839
O 0.8923 0.3917 0.5839
O 0.8917 0.9994 0.8079
O 0.9161 0.1083 0.6077
O 0.9161 0.3079 0.3084
O 0.9994 0.6916 0.1077
O 0.9994 0.8079 0.8917

Calculated values
For the volume, the calculation gives 1179.70 Å³ per cell. The electronic total energy is -6.276 eV/atom. As for the uncorrected formation energy: -1.858 eV/atom.